Entry 1:
Below is crystalline BiTe2S at its relaxed geometry, with properties calculated at the PBEsol level.

Summary:
- Distance to the lowest polymorph of the same formula: 0 meV per atom
- Total moment: 0.00 Bohr magnetons per cell
- E: -59.0 eV for the cell shown
- D(E_F): 0.66 states/eV per atom

Geometry as CIF:
```
data_BiTe2S
_space_group_name_H-M_alt 'F m -3 m'
_space_group_IT_number 225
_space_group_name_Hall '-F 4 2 3'
_cell_length_a 7.3719
_cell_length_b 7.3719
_cell_length_c 7.3719
_cell_angle_alpha 90.00
_cell_angle_beta 90.00
_cell_angle_gamma 90.00
loop_
_atom_site_label
_atom_site_type_symbol
_atom_site_fract_x
_atom_site_fract_y
_atom_site_fract_z
Bi1 Bi 0.0000 0.0000 0.0000
Te1 Te 0.2500 0.2500 0.2500
S1 S 0.0000 0.0000 0.5000
```

***

Entry 2:
Below is crystalline BiTe2S at its relaxed geometry, with properties calculated at the PBEsol level.

Summary:
- Distance to the lowest polymorph of the same formula: 2 meV per atom
- Total moment: 0.00 Bohr magnetons per cell
- E: -58.9 eV for the cell shown
- D(E_F): 0.60 states/eV per atom

Geometry as CIF:
```
data_BiTe2S
_space_group_name_H-M_alt 'I -4 2 d'
_space_group_IT_number 122
_space_group_name_Hall 'I -4 2bw'
_cell_length_a 5.4342
_cell_length_b 5.4342
_cell_length_c 17.4069
_cell_angle_alpha 90.00
_cell_angle_beta 90.00
_cell_angle_gamma 90.00
loop_
_atom_site_label
_atom_site_type_symbol
_atom_site_fract_x
_atom_site_fract_y
_atom_site_fract_z
Bi1 Bi 0.0000 0.0000 0.0000
Te1 Te 0.1908 0.2500 0.6250
S1 S 0.0000 0.0000 0.5000
```

***

Entry 3:
Below is crystalline Bi3Te2S at its relaxed geometry, with properties calculated at the PBEsol level.

Summary:
- Total moment: 0.00 Bohr magnetons per cell
- E: -50.9 eV for the cell shown
- D(E_F): 0.03 states/eV per atom

Geometry as CIF:
```
data_Bi3Te2S
_space_group_name_H-M_alt 'P -3 m 1'
_space_group_IT_number 164
_space_group_name_Hall '-P 3 2"'
_cell_length_a 4.3076
_cell_length_b 4.3076
_cell_length_c 23.3932
_cell_angle_alpha 90.00
_cell_angle_beta 90.00
_cell_angle_gamma 120.00
loop_
_atom_site_label
_atom_site_type_symbol
_atom_site_fract_x
_atom_site_fract_y
_atom_site_fract_z
Bi1 Bi 0.0000 0.0000 0.1044
Bi2 Bi 0.3333 0.6667 0.2796
Bi3 Bi 0.3333 0.6667 0.5370
Te1 Te 0.0000 0.0000 0.3562
Te2 Te 0.3333 0.6667 0.8071
S1 S 0.3333 0.6667 0.0519
```

***

Entry 4:
Below is crystalline TiBiS2 at its relaxed geometry, with properties calculated at the PBEsol level.

Summary:
- Total moment: 0.00 Bohr magnetons per cell
- E: -50.8 eV for the cell shown
- D(E_F): 0.60 states/eV per atom

Geometry as CIF:
```
data_TiBiS2
_space_group_name_H-M_alt 'C 1 2/m 1'
_space_group_IT_number 12
_space_group_name_Hall '-C 2y'
_cell_length_a 5.8609
_cell_length_b 3.3846
_cell_length_c 8.7285
_cell_angle_alpha 90.00
_cell_angle_beta 103.00
_cell_angle_gamma 90.00
loop_
_atom_site_label
_atom_site_type_symbol
_atom_site_fract_x
_atom_site_fract_y
_atom_site_fract_z
Ti1 Ti 0.0000 0.0000 0.0000
Bi1 Bi 0.0000 0.5000 0.5000
S1 S 0.1104 0.5000 0.8314
```

***

Entry 5:
Below is crystalline Tl4Bi2S5 at its relaxed geometry, with properties calculated at the PBEsol level.

Summary:
- Total moment: 0.00 Bohr magnetons per cell
- E: -181.4 eV for the cell shown

Geometry as CIF:
```
data_Tl4Bi2S5
_space_group_name_H-M_alt 'P n m a'
_space_group_IT_number 62
_space_group_name_Hall '-P 2ac 2n'
_cell_length_a 16.5899
_cell_length_b 4.0672
_cell_length_c 17.2219
_cell_angle_alpha 90.00
_cell_angle_beta 90.00
_cell_angle_gamma 90.00
loop_
_atom_site_label
_atom_site_type_symbol
_atom_site_fract_x
_atom_site_fract_y
_atom_site_fract_z
Tl1 Tl 0.0750 0.2500 0.0823
Tl2 Tl 0.1833 0.7500 0.9331
Tl3 Tl 0.1845 0.7500 0.2314
Tl4 Tl 0.1976 0.7500 0.5804
Bi1 Bi 0.0594 0.2500 0.4125
Bi2 Bi 0.0706 0.2500 0.7564
S1 S 0.0474 0.2500 0.2563
S2 S 0.0480 0.2500 0.9097
S3 S 0.0680 0.2500 0.5826
S4 S 0.1694 0.7500 0.4020
S5 S 0.1845 0.7500 0.7662
```

***

Entry 6:
Below is crystalline YBiS2 at its relaxed geometry, with properties calculated at the PBEsol level.

Summary:
- Total moment: 0.00 Bohr magnetons per cell
- E: -65.7 eV for the cell shown
- D(E_F): 0.29 states/eV per atom

Geometry as CIF:
```
data_YBiS2
_space_group_name_H-M_alt 'R -3 m'
_space_group_IT_number 166
_space_group_name_Hall '-R 3 2"'
_cell_length_a 3.9975
_cell_length_b 3.9975
_cell_length_c 25.1448
_cell_angle_alpha 90.00
_cell_angle_beta 90.00
_cell_angle_gamma 120.00
loop_
_atom_site_label
_atom_site_type_symbol
_atom_site_fract_x
_atom_site_fract_y
_atom_site_fract_z
Y1 Y 0.0000 0.0000 0.0000
Bi1 Bi 0.0000 0.0000 0.5000
S1 S 0.0000 0.0000 0.1047
```